1.
SrMn2C (GGA-PBE, optimized geometry); total DFT energy (no corrections) = -6.930 eV per atom; total magnetization = 10.0 μB per cell; crystal system = cubic
1.0
0.0000 4.2687 4.2687
4.2687 0.0000 4.2687
4.2687 4.2687 0.0000
Sr Mn C
2 4 2
Cartesian
1.0672 1.0672 1.0672
7.4703 7.4703 7.4703
4.2687 2.1344 2.1344
2.1344 4.2687 2.1344
2.1344 2.1344 4.2687
4.2687 4.2687 4.2687
3.2016 3.2016 3.2016
5.3359 5.3359 5.3359

---

2.
Al4Os3 (GGA-PBE, optimized geometry); total DFT energy (no corrections) = -7.285 eV per atom; total magnetization = 0.0 μB per cell; crystal system = tetragonal
1.0
-1.5727 1.5727 9.9633
1.5727 -1.5727 9.9633
1.5727 1.5727 -9.9633
Al Os
4 3
Cartesian
0.0000 0.0000 1.3526
0.0000 0.0000 7.1119
0.0000 0.0000 12.8147
0.0000 0.0000 18.5740
0.0000 0.0000 4.0954
0.0000 0.0000 9.9633
0.0000 0.0000 15.8311

---

Formation energy values, unit meV per atom, following the record order: 381 -334.